Record 1
! CaReW3 PBE relaxed; values from VASP
! Total magnetic moment   0.0 Bohr magnetons per cell
! Calculated formation energy   3.33 eV/atom
! Energy relative to the lowest polymorph listed for this composition   1719 meV/atom
&SYSTEM
  ibrav = 0, nat = 5, ntyp = 3
/
ATOMIC_SPECIES
W 183.84 W.upf
Re 186.21 Re.upf
Ca 40.08 Ca.upf
CELL_PARAMETERS angstrom
4.495 0.000 0.000
0.000 4.495 0.000
0.000 0.000 4.495
ATOMIC_POSITIONS angstrom
W 0.000 2.248 0.000
W 2.248 0.000 0.000
W 0.000 0.000 2.248
Re 2.248 2.248 2.248
Ca 0.000 0.000 0.000



Record 2
! CaRe3W PBE relaxed; values from VASP
! Total magnetic moment   2.2 Bohr magnetons per cell
! Calculated formation energy   1.68 eV/atom
! Energy relative to the lowest polymorph listed for this composition   0 meV/atom
&SYSTEM
  ibrav = 0, nat = 5, ntyp = 3
/
ATOMIC_SPECIES
W 183.84 W.upf
Ca 40.08 Ca.upf
Re 186.21 Re.upf
CELL_PARAMETERS angstrom
-3.533 -2.341 -2.300
3.020 -3.642 -0.932
-1.285 -2.123 4.134
ATOMIC_POSITIONS angstrom
W 0.000 0.000 0.000
Ca -0.899 -4.053 0.451
Re -0.643 -1.062 2.067
Re -1.767 -1.170 -1.150
Re 1.510 -1.821 -0.466



Record 3
! CaRe2W PBE relaxed; values from VASP
! Total magnetic moment   0.0 Bohr magnetons per cell
! Calculated formation energy   0.74 eV/atom
! Energy relative to the lowest polymorph listed for this composition   271 meV/atom
&SYSTEM
  ibrav = 0, nat = 4, ntyp = 3
/
ATOMIC_SPECIES
Re 186.21 Re.upf
W 183.84 W.upf
Ca 40.08 Ca.upf
CELL_PARAMETERS angstrom
-0.261 -3.065 0.471
4.644 -0.435 -0.255
0.317 0.682 4.611
ATOMIC_POSITIONS angstrom
Re 2.481 0.123 2.178
Re 0.000 0.000 0.000
W 2.191 -1.750 0.108
Ca 0.028 -1.192 2.541



Q: Which value of energy relative to the lowest polymorph listed for this composition does entry 3 give?
A: 271 meV/atom